No. 1
A plane-wave DFT calculation with GGA-PBE was carried out for a geometry-optimized NdGdH2O4 structure.

Lattice parameters (Å, degrees): 4.363 3.712 6.116 90.00 108.98 90.00
Space group Pm (No. 6)
One atom of each set of equivalent atoms:
1 Nd 0.000 0.000 0.000
2 Gd 0.670 0.500 0.383
3 H 0.316 0.500 0.757
4 H 0.339 0.000 0.591
5 O 0.088 0.500 0.747
6 O 0.105 0.500 0.248
7 O 0.573 0.000 0.622
8 O 0.574 0.000 0.152

No. 2
A plane-wave DFT calculation with GGA-PBE was carried out for a geometry-optimized GdHPtS4O16 structure.

Lattice parameters (Å, degrees): 8.247 8.936 9.317 108.10 111.93 103.32
Space group P-1 (No. 2)
One atom of each set of equivalent atoms:
1 Gd 0.222 0.148 0.358
2 H 0.138 0.513 0.323
3 Pt 0.379 0.562 0.007
4 S 0.153 0.813 0.967
5 S 0.215 0.182 0.765
6 S 0.272 0.788 0.472
7 S 0.461 0.557 0.709
8 O 0.025 0.266 0.202
9 O 0.095 0.018 0.736
10 O 0.127 0.933 0.098
11 O 0.140 0.616 0.303
12 O 0.174 0.671 0.019
13 O 0.182 0.320 0.885
14 O 0.185 0.207 0.612
15 O 0.214 0.913 0.418
16 O 0.240 0.775 0.610
17 O 0.318 0.898 0.956
18 O 0.325 0.572 0.783
19 O 0.340 0.459 0.522
20 O 0.399 0.276 0.234
21 O 0.419 0.199 0.863
22 O 0.436 0.553 0.233
23 O 0.470 0.821 0.506

No. 3
A plane-wave DFT calculation with GGA-PBE was carried out for a geometry-optimized GdHSO5 structure.

Lattice parameters (Å, degrees): 4.364 12.130 6.844 90.00 110.96 90.00
Space group P2_1/c (No. 14)
One atom of each set of equivalent atoms:
1 Gd 0.167 0.061 0.302
2 H 0.211 0.658 0.984
3 S 0.411 0.149 0.890
4 O 0.199 0.067 0.951
5 O 0.228 0.248 0.324
6 O 0.233 0.584 0.046
7 O 0.288 0.669 0.432
8 O 0.481 0.100 0.711

No. 4
A plane-wave DFT calculation with GGA-PBE was carried out for a geometry-optimized GdHSe2O8 structure.

Lattice parameters (Å, degrees): 9.044 13.365 9.922 90.00 90.00 90.00
Space group Pbca (No. 61)
One atom of each set of equivalent atoms:
1 Gd 0.221 0.105 0.046
2 H 0.162 0.204 0.759
3 Se 0.007 0.566 0.782
4 Se 0.193 0.650 0.400
5 O 0.012 0.657 0.409
6 O 0.078 0.532 0.154
7 O 0.081 0.640 0.896
8 O 0.115 0.535 0.655
9 O 0.118 0.142 0.807
10 O 0.226 0.220 0.517
11 O 0.249 0.033 0.410
12 O 0.250 0.194 0.249

No. 5
A plane-wave DFT calculation with GGA-PBE was carried out for a geometry-optimized TbGdH2O4 structure.

Lattice parameters (Å, degrees): 4.329 3.623 5.970 90.00 109.74 90.00
Space group Pm (No. 6)
One atom of each set of equivalent atoms:
1 Tb 0.000 0.000 0.000
2 Gd 0.674 0.500 0.383
3 H 0.328 0.500 0.788
4 H 0.346 0.000 0.595
5 O 0.093 0.500 0.757
6 O 0.106 0.500 0.246
7 O 0.568 0.000 0.135
8 O 0.582 0.000 0.627

No. 6
A plane-wave DFT calculation with GGA-PBE was carried out for a geometry-optimized GdYH2O4 structure.

Lattice parameters (Å, degrees): 4.324 3.618 5.963 90.00 109.74 90.00
Space group Pm (No. 6)
One atom of each set of equivalent atoms:
1 Gd 0.000 0.000 0.000
2 Y 0.326 0.500 0.617
3 H 0.654 0.000 0.406
4 H 0.672 0.500 0.212
5 O 0.418 0.000 0.375
6 O 0.431 0.000 0.863
7 O 0.893 0.500 0.752
8 O 0.908 0.500 0.244

No. 7
A plane-wave DFT calculation with GGA-PBE was carried out for a geometry-optimized PrGdH4 structure.

Lattice parameters (Å, degrees): 3.797 3.797 5.408 90.00 90.00 90.00
Space group P4/mmm (No. 123)
One atom of each set of equivalent atoms:
1 Pr 0.000 0.000 0.000
2 Gd 0.500 0.500 0.500
3 H 0.000 0.500 0.264

No. 8
A plane-wave DFT calculation with GGA-PBE was carried out for a geometry-optimized GdHSe2 structure.

Lattice parameters (Å, degrees): 7.018 7.175 7.266 90.00 100.19 90.00
Space group P2_1/c (No. 14)
One atom of each set of equivalent atoms:
1 Gd 0.181 0.051 0.292
2 H 0.450 0.719 0.403
3 Se 0.076 0.740 0.512
4 Se 0.425 0.143 0.673

No. 9
A plane-wave DFT calculation with GGA-PBE was carried out for a geometry-optimized GdHSe structure.

Lattice parameters (Å, degrees): 3.8735 3.8735 3.9348 90.00 90.00 120.00
Space group P-6m2 (No. 187)
One atom of each set of equivalent atoms:
1 Gd 0.0000 0.0000 0.0000
2 H 0.6667 0.3333 0.0000
3 Se 0.3333 0.6667 0.5000

No. 10
A plane-wave DFT calculation with GGA-PBE was carried out for a geometry-optimized GdTaH4 structure.

Lattice parameters (Å, degrees): 3.402 3.402 4.878 90.00 90.00 90.00
Space group P4/mmm (No. 123)
One atom of each set of equivalent atoms:
1 Gd 0.000 0.000 0.000
2 Ta 0.500 0.500 0.500
3 H 0.000 0.500 0.294

No. 11
A plane-wave DFT calculation with GGA-PBE was carried out for a geometry-optimized TbGdH4 structure.

Lattice parameters (Å, degrees): 3.694 3.694 5.223 90.00 90.00 90.00
Space group P4/mmm (No. 123)
One atom of each set of equivalent atoms:
1 Tb 0.000 0.000 0.000
2 Gd 0.500 0.500 0.500
3 H 0.000 0.500 0.249

No. 12
A plane-wave DFT calculation with GGA-PBE was carried out for a geometry-optimized GdTmH4 structure.

Lattice parameters (Å, degrees): 3.640 3.640 5.144 90.00 90.00 90.00
Space group P4/mmm (No. 123)
One atom of each set of equivalent atoms:
1 Gd 0.000 0.000 0.000
2 Tm 0.500 0.500 0.500
3 H 0.000 0.500 0.260

Number 1: calculated total energy -56.6 eV/cell. Number 2: calculated total energy -282.5 eV/cell. Number 3: calculated total energy -214.5 eV/cell. Number 4: calculated total energy -562.3 eV/cell. Number 5: calculated total energy -56.9 eV/cell. Number 6: calculated total energy -58.7 eV/cell. Number 7: calculated total energy -26.8 eV/cell. Number 8: calculated total energy -78.4 eV/cell. Number 9: calculated total energy -15.9 eV/cell. Number 10: calculated total energy -32.1 eV/cell. Number 11: calculated total energy -26.9 eV/cell. Number 12: calculated total energy -26.8 eV/cell.